An optimized crystal structure of ScB2MoCl. Source: Alexandria, functional PBE.

SG: P4/mmm (123)
Spin magnetization (μB per formula unit): 0.000
E_tot (eV per atom): -4.76
Energy relative to the elements, uncorrected (meV per atom): 1716

```
ScB2MoCl
1.0
4.236 0.000 0.000
0.000 4.617 0.000
0.000 0.000 4.236
B Sc Cl Mo
2 1 1 1
Cartesian
0.000 0.000 2.118
2.118 0.000 0.000
0.000 0.000 0.000
0.000 2.309 0.000
2.118 2.309 2.118
```

---

An optimized crystal structure of ZrB2MoCl. Source: Alexandria, functional PBE.

SG: P4/mmm (123)
Spin magnetization (μB per formula unit): 0.000
E_tot (eV per atom): -4.98
Energy relative to the elements, uncorrected (meV per atom): 1939

```
ZrB2MoCl
1.0
4.412 0.000 0.000
0.000 5.162 0.000
0.000 0.000 4.412
B Cl Zr Mo
2 1 1 1
Cartesian
0.000 0.000 2.206
2.206 0.000 0.000
2.206 2.581 2.206
0.000 0.000 0.000
0.000 2.581 0.000
```